## Ta2NbTl2Se6 (GGA-PBE)

Data for an optimized crystal structure of Ta2NbTl2Se6.

a = 6.270 Å, b = 6.270 Å, c = 8.662 Å
α = 95.62°, β = 95.62°, γ = 121.60°
Atoms (fractional coordinates):
Ta 0.367 0.633 0.500
Ta 0.633 0.367 0.500
Nb 0.000 0.000 0.500
Tl 0.821 0.179 0.000
Tl 0.179 0.821 0.000
Se 0.738 0.738 0.714
Se 0.042 0.391 0.680
Se 0.262 0.262 0.286
Se 0.391 0.042 0.680
Se 0.958 0.609 0.320
Se 0.609 0.958 0.320

Properties
- Fermi-level density of states: 5.72 states/eV per cell
- Formation energy from raw total energies: -0.65 eV per atom
- Mass density: 7.8 g cm⁻³
- Size of the total moment: 0.000 μB/atom
- Calculated volume: 284 Å³/f.u.